PBE-GGA Eu2ScN, optimized geometry; volume = 25.511 Å³/atom; energy relative to the elements, uncorrected = -0.34 eV/atom; spin magnetization = 14.1 μB/f.u.; ρ = 5.905 g/cm3; SG = R-3m
1.0
-3.2418 1.2655 -0.3841
-2.1018 0.3039 2.7836
1.5140 9.4247 2.3161
Eu Sc N
2 1 1
Cartesian
0.3531 6.2887 1.7819 Eu
-4.1828 4.7053 2.9337 Eu
0.0000 0.0000 0.0000 Sc
-1.9149 5.4970 2.3578 N